A plane-wave DFT calculation with PBE was carried out for a relaxed structure of Pr2DyScSe4.

Cell and atoms, written as CIF:
```
data_Pr2DyScSe4
_chemical_formula_sum 'Pr2 Dy1 Sc1 Se4'
_cell_length_a 7.048
_cell_length_b 4.048
_cell_length_c 7.338
_cell_angle_alpha 90.00
_cell_angle_beta 108.53
_cell_angle_gamma 90.00
_symmetry_space_group_name_H-M 'P 1 2/m 1'
_symmetry_Int_Tables_number 10
_symmetry_space_group_name_Hall '-P 2y'
loop_
_atom_site_label
_atom_site_fract_x
_atom_site_fract_y
_atom_site_fract_z
Pr1 0.000 0.000 0.000
Pr2 0.500 0.500 0.000
Dy1 0.000 0.500 0.500
Sc1 0.500 0.000 0.500
Se1 0.250 0.000 0.727
Se2 0.267 0.500 0.278
```

**N(E_F)**: 0.50 states/eV per atom
**Total moment**: 0.0 μB/cell
**Mass density**: 6.735 g/cm³
**VASP energy**: -6.052 eV per atom